(1)
The following is a PBE-GGA calculation of a relaxed structure of La2TbNd3Tm6, from the Alexandria database.

Unit cell a=6.2312 b=10.7871 c=11.7516 alpha=90.00 beta=100.16 gamma=90.00
Closest atoms and distances in Å follow each position.
Space group C2/m (No. 12)
Asymmetric unit:
La 0.0000 0.1665 0.0000 (multiplicity 4)  6 Tm 3.57, 3 La 3.59-3.60, 3 Tb 3.60
Tb 0.0000 0.5000 0.0000 (multiplicity 2)  6 Tm 3.57, 6 La 3.60
Nd 0.0000 0.0000 0.5000 (multiplicity 2)  6 Tm 3.55, 6 Nd 3.59-3.60
Nd 0.0000 0.3332 0.5000 (multiplicity 4)  6 Tm 3.55, 6 Nd 3.59-3.60
Tm 0.2487 0.5000 0.7490 (multiplicity 4)  3 Nd 3.55, 1 Tb 3.57, 2 La 3.57, 6 Tm 3.59-3.60
Tm 0.2501 0.1662 0.7492 (multiplicity 8)  3 Nd 3.55, 1 Tb 3.57, 2 La 3.57, 6 Tm 3.59-3.60

Formation energy from the elements   0.018 eV per atom
N(E_F)   1.0763 states/eV/atom

---

(2)
The following is a PBE-GGA calculation of a relaxed structure of LaTbNd3Tm, from the Alexandria database.

Unit cell a=20.6723 b=5.8402 c=6.8583 alpha=90.00 beta=91.55 gamma=90.00
Closest atoms and distances in Å follow each position.
Space group C2/m (No. 12)
Asymmetric unit:
La 0.1468 0.0000 0.0241 (multiplicity 4)  1 Tm 3.11, 2 Nd 3.23-3.46
Tb 0.0574 0.5000 0.2702 (multiplicity 4)  3 Nd 3.31-3.36, 2 Tm 3.67
Nd 0.0179 0.0000 0.7481 (multiplicity 4)  1 Tm 3.21, 1 La 3.23, 2 Tb 3.31, 2 Nd 3.46-3.55
Nd 0.1595 0.5000 0.7463 (multiplicity 4)  2 Tm 3.47, 2 La 3.50, 4 Nd 3.52-3.84, 1 Tb 3.84
Nd 0.2198 0.5000 0.2709 (multiplicity 4)  3 Tm 3.30-3.64, 1 Tb 3.36, 3 La 3.46-3.68, 1 Nd 3.52
Tm 0.1419 0.0000 0.4769 (multiplicity 4)  1 La 3.11, 4 Nd 3.21-3.47

Formation energy from the elements   0.180 eV per atom
N(E_F)   1.4615 states/eV/atom

---

(3)
The following is a PBE-GGA calculation of a relaxed structure of La4Tb2NdTm, from the Alexandria database.

Unit cell a=6.0058 b=5.9977 c=7.7265 alpha=90.00 beta=90.02 gamma=90.00
Closest atoms and distances in Å follow each position.
Space group P2/m (No. 10)
Asymmetric unit:
La 0.0013 0.0000 0.2408 (multiplicity 2)  2 Tm 3.53-3.54, 4 Tb 3.53-3.62, 2 Nd 3.61, 1 La 3.72
La 0.4994 0.5000 0.2406 (multiplicity 2)  2 Tm 3.53, 4 Tb 3.53-3.61, 2 Nd 3.61, 1 La 3.72
Tb 0.0000 0.5000 0.0000 (multiplicity 1)  8 La 3.53-3.54, 2 Nd 3.86
Tb 0.5000 0.0000 0.5000 (multiplicity 1)  8 La 3.60-3.62, 2 Tm 3.86
Nd 0.0000 0.5000 0.5000 (multiplicity 1)  8 La 3.61, 2 Tb 3.86
Tm 0.5000 0.0000 0.0000 (multiplicity 1)  8 La 3.53-3.54, 2 Tb 3.86

Formation energy from the elements   0.085 eV per atom
N(E_F)   1.6816 states/eV/atom

---

no.,total magnetization (μB/f.u.)
1,0.000
2,0.000
3,0.001